1.
A relaxed structure of NdSn12Ir6. Source: the Alexandria database, functional PBE-GGA.

## Properties
- Total DFT energy (no corrections): -5.70 eV/atom
- Symmetry: No. 166
- Total moment: 0.00 μB per atom

Unit cell a=7.9835 b=7.9835 c=7.9835 alpha=106.94 beta=106.94 gamma=106.94
Element x y z (fractional)
1 Nd 0.0000 0.0000 0.0000
2 Sn 0.1216 0.5000 0.8784
3 Sn 0.1216 0.8784 0.5000
4 Sn 0.1397 0.3941 0.3941
5 Sn 0.3941 0.1397 0.3941
6 Sn 0.3941 0.3941 0.1397
7 Sn 0.5000 0.1216 0.8784
8 Sn 0.5000 0.8784 0.1216
9 Sn 0.6059 0.6059 0.8603
10 Sn 0.6059 0.8603 0.6059
11 Sn 0.8603 0.6059 0.6059
12 Sn 0.8784 0.1216 0.5000
13 Sn 0.8784 0.5000 0.1216
14 Ir 0.2783 0.2783 0.6998
15 Ir 0.2783 0.6998 0.2783
16 Ir 0.3002 0.7217 0.7217
17 Ir 0.6998 0.2783 0.2783
18 Ir 0.7217 0.3002 0.7217
19 Ir 0.7217 0.7217 0.3002

2.
A relaxed structure of Nd2TmSn3Ir4. Source: the Alexandria database, functional PBE-GGA.

## Properties
- Total DFT energy (no corrections): -6.78 eV/atom
- Symmetry: No. 115
- Total moment: 0.00 μB per atom

Unit cell a=4.3834 b=4.3834 c=11.5973 alpha=90.00 beta=90.00 gamma=90.00
Element x y z (fractional)
1 Nd 0.0000 0.5000 0.2333
2 Nd 0.5000 0.0000 0.7667
3 Tm 0.0000 0.0000 0.5000
4 Sn 0.0000 0.5000 0.8723
5 Sn 0.5000 0.0000 0.1277
6 Sn 0.5000 0.5000 0.5000
7 Ir 0.0000 0.0000 0.0000
8 Ir 0.0000 0.5000 0.6468
9 Ir 0.5000 0.0000 0.3532
10 Ir 0.5000 0.5000 0.0000

3.
A relaxed structure of Nd2ZnSn3Ir4. Source: the Alexandria database, functional PBE-GGA.

## Properties
- Total DFT energy (no corrections): -6.34 eV/atom
- Symmetry: No. 115
- Total moment: 0.00 μB per atom

Unit cell a=4.3744 b=4.3744 c=11.0792 alpha=90.00 beta=90.00 gamma=90.00
Element x y z (fractional)
1 Nd 0.0000 0.5000 0.2473
2 Nd 0.5000 0.0000 0.7527
3 Zn 0.5000 0.5000 0.0000
4 Sn 0.0000 0.0000 0.0000
5 Sn 0.0000 0.5000 0.6329
6 Sn 0.5000 0.0000 0.3671
7 Ir 0.0000 0.0000 0.5000
8 Ir 0.0000 0.5000 0.8670
9 Ir 0.5000 0.0000 0.1330
10 Ir 0.5000 0.5000 0.5000

4.
A relaxed structure of SrNdIr. Source: the Alexandria database, functional PBE-GGA.

## Properties
- Energy above the lowest structure with this stoichiometry: 0.00 eV per formula unit
- Symmetry: No. 63
- Total moment: 0.00 μB per atom

Unit cell a=11.5130 b=11.5130 c=4.3308 alpha=90.00 beta=90.00 gamma=160.19
Element x y z (fractional)
1 Sr 0.1808 0.8192 0.7500
2 Sr 0.8192 0.1808 0.2500
3 Nd 0.4370 0.5630 0.7500
4 Nd 0.5630 0.4370 0.2500
5 Ir 0.0440 0.9560 0.7500
6 Ir 0.9560 0.0440 0.2500

5.
A relaxed structure of SrNd2Ir. Source: the Alexandria database, functional PBE-GGA.

## Properties
- Energy above the lowest structure with this stoichiometry: 0.48 eV per formula unit
- Symmetry: No. 166
- Total moment: 0.00 μB per atom

Unit cell a=11.3743 b=11.3743 c=11.3743 alpha=21.11 beta=21.11 gamma=21.11
Element x y z (fractional)
1 Sr 0.0000 0.0000 0.0000
2 Nd 0.1217 0.1217 0.1217
3 Nd 0.8783 0.8783 0.8783
4 Ir 0.5000 0.5000 0.5000

6.
A relaxed structure of SrNdIr4. Source: the Alexandria database, functional PBE-GGA.

## Properties
- Total DFT energy (no corrections): -7.46 eV/atom
- Symmetry: No. 216
- Total moment: 0.00 μB per atom

Unit cell a=5.4582 b=5.4582 c=5.4582 alpha=60.00 beta=60.00 gamma=60.00
Element x y z (fractional)
1 Sr 0.0000 0.0000 0.0000
2 Nd 0.7500 0.7500 0.7500
3 Ir 0.3751 0.3751 0.3751
4 Ir 0.3751 0.3751 0.8748
5 Ir 0.3751 0.8748 0.3751
6 Ir 0.8748 0.3751 0.3751

7.
A relaxed structure of SrNd2Ir9. Source: the Alexandria database, functional PBE-GGA.

## Properties
- Total DFT energy (no corrections): -7.98 eV/atom
- Symmetry: No. 166
- Total moment: 0.00 μB per atom

Unit cell a=9.3429 b=9.3429 c=9.3429 alpha=33.68 beta=33.68 gamma=33.68
Element x y z (fractional)
1 Sr 0.0000 0.0000 0.0000
2 Nd 0.1387 0.1387 0.1387
3 Nd 0.8613 0.8613 0.8613
4 Ir 0.0852 0.5788 0.5788
5 Ir 0.3316 0.3316 0.3316
6 Ir 0.4212 0.4212 0.9148
7 Ir 0.4212 0.9148 0.4212
8 Ir 0.5000 0.5000 0.5000
9 Ir 0.5788 0.0852 0.5788
10 Ir 0.5788 0.5788 0.0852
11 Ir 0.6684 0.6684 0.6684
12 Ir 0.9148 0.4212 0.4212

8.
A relaxed structure of SrNdIr. Source: the Alexandria database, functional PBE-GGA.

## Properties
- Energy above the lowest structure with this stoichiometry: 0.20 eV per formula unit
- Symmetry: No. 107
- Total moment: 0.00 μB per atom

Unit cell a=7.4280 b=7.4280 c=7.4280 alpha=151.78 beta=151.78 gamma=40.33
Element x y z (fractional)
1 Sr 0.0000 0.0000 0.0000
2 Nd 0.2473 0.2473 0.0000
3 Ir 0.6429 0.6429 0.0000

9.
A relaxed structure of SrNdIr. Source: the Alexandria database, functional PBE-GGA.

## Properties
- Energy above the lowest structure with this stoichiometry: 0.19 eV per formula unit
- Symmetry: No. 156
- Total moment: 0.00 μB per atom

Unit cell a=4.2443 b=4.2443 c=6.7364 alpha=90.00 beta=90.00 gamma=120.00
Element x y z (fractional)
1 Sr 0.0000 0.0000 0.0000
2 Nd 0.6667 0.3333 0.4654
3 Ir 0.3333 0.6667 0.2632

10.
A relaxed structure of SrNd2Ir. Source: the Alexandria database, functional PBE-GGA.

## Properties
- Energy above the lowest structure with this stoichiometry: 0.43 eV per formula unit
- Symmetry: No. 123
- Total moment: 0.00 μB per atom

Unit cell a=3.6416 b=3.6416 c=10.1144 alpha=90.00 beta=90.00 gamma=90.00
Element x y z (fractional)
1 Sr 0.0000 0.0000 0.0000
2 Nd 0.5000 0.5000 0.3384
3 Nd 0.5000 0.5000 0.6616
4 Ir 0.0000 0.0000 0.5000

11.
A relaxed structure of SrNdIr. Source: the Alexandria database, functional PBE-GGA.

## Properties
- Energy above the lowest structure with this stoichiometry: 0.17 eV per formula unit
- Symmetry: No. 216
- Total moment: 0.00 μB per atom

Unit cell a=5.0270 b=5.0270 c=5.0270 alpha=60.00 beta=60.00 gamma=60.00
Element x y z (fractional)
1 Sr 0.0000 0.0000 0.0000
2 Nd 0.5000 0.5000 0.5000
3 Ir 0.2500 0.2500 0.2500

12.
A relaxed structure of Sr2NdIr9. Source: the Alexandria database, functional PBE-GGA.

## Properties
- Total DFT energy (no corrections): -7.60 eV/atom
- Symmetry: No. 166
- Total moment: 0.00 μB per atom

Unit cell a=9.3970 b=9.3970 c=9.3970 alpha=33.51 beta=33.51 gamma=33.51
Element x y z (fractional)
1 Sr 0.1420 0.1420 0.1420
2 Sr 0.8580 0.8580 0.8580
3 Nd 0.0000 0.0000 0.0000
4 Ir 0.0859 0.5761 0.5761
5 Ir 0.3316 0.3316 0.3316
6 Ir 0.4239 0.4239 0.9141
7 Ir 0.4239 0.9141 0.4239
8 Ir 0.5000 0.5000 0.5000
9 Ir 0.5761 0.0859 0.5761
10 Ir 0.5761 0.5761 0.0859
11 Ir 0.6684 0.6684 0.6684
12 Ir 0.9141 0.4239 0.4239

13.
A relaxed structure of Sr3NdIr8. Source: the Alexandria database, functional PBE-GGA.

## Properties
- Total DFT energy (no corrections): -7.10 eV/atom
- Symmetry: No. 160
- Total moment: 0.00 μB per atom

Unit cell a=9.4681 b=9.4681 c=9.4681 alpha=33.60 beta=33.60 gamma=33.60
Element x y z (fractional)
1 Sr 0.0000 0.0000 0.0000
2 Sr 0.1240 0.1240 0.1240
3 Sr 0.6267 0.6267 0.6267
4 Nd 0.5004 0.5004 0.5004
5 Ir 0.0627 0.0627 0.5598
6 Ir 0.0627 0.5598 0.0627
7 Ir 0.0662 0.5629 0.5629
8 Ir 0.3129 0.3129 0.3129
9 Ir 0.5598 0.0627 0.0627
10 Ir 0.5629 0.0662 0.5629
11 Ir 0.5629 0.5629 0.0662
12 Ir 0.8129 0.8129 0.8129

14.
A relaxed structure of SrNdIr. Source: the Alexandria database, functional PBE-GGA.

## Properties
- Energy above the lowest structure with this stoichiometry: 0.61 eV per formula unit
- Symmetry: No. 12
- Total moment: 0.00 μB per atom

Unit cell a=11.6371 b=11.6371 c=9.4147 alpha=100.30 beta=100.30 gamma=20.23
Element x y z (fractional)
1 Sr 0.0244 0.0244 0.2179
2 Sr 0.3885 0.3885 0.3908
3 Sr 0.6115 0.6115 0.6092
4 Sr 0.9756 0.9756 0.7821
5 Nd 0.1582 0.1582 0.9725
6 Nd 0.2021 0.2021 0.3754
7 Nd 0.7979 0.7979 0.6246
8 Nd 0.8418 0.8418 0.0275
9 Ir 0.2149 0.2149 0.6885
10 Ir 0.2723 0.2723 0.1285
11 Ir 0.7277 0.7277 0.8715
12 Ir 0.7851 0.7851 0.3115

15.
A relaxed structure of SrNd2Ir. Source: the Alexandria database, functional PBE-GGA.

## Properties
- Energy above the lowest structure with this stoichiometry: 0.00 eV per formula unit
- Symmetry: No. 160
- Total moment: 0.00 μB per atom

Unit cell a=9.9713 b=9.9713 c=9.9713 alpha=24.62 beta=24.62 gamma=24.62
Element x y z (fractional)
1 Sr 0.0000 0.0000 0.0000
2 Nd 0.5482 0.5482 0.5482
3 Nd 0.7814 0.7814 0.7814
4 Ir 0.1648 0.1648 0.1648

16.
A relaxed structure of SrNdZnIr. Source: the Alexandria database, functional PBE-GGA.

## Properties
- Total DFT energy (no corrections): -4.40 eV/atom
- Symmetry: No. 216
- Total moment: 0.00 μB per atom

Unit cell a=5.1509 b=5.1509 c=5.1509 alpha=60.00 beta=60.00 gamma=60.00
Element x y z (fractional)
1 Sr 0.0000 0.0000 0.0000
2 Nd 0.5000 0.5000 0.5000
3 Zn 0.7500 0.7500 0.7500
4 Ir 0.2500 0.2500 0.2500

17.
A relaxed structure of NdTaIr2. Source: the Alexandria database, functional PBE-GGA.

## Properties
- Total DFT energy (no corrections): -9.13 eV/atom
- Symmetry: No. 123
- Total moment: 0.00 μB per atom

Unit cell a=3.1555 b=3.1555 c=7.7039 alpha=90.00 beta=90.00 gamma=90.00
Element x y z (fractional)
1 Nd 0.0000 0.0000 0.0000
2 Ta 0.0000 0.0000 0.5000
3 Ir 0.5000 0.5000 0.2999
4 Ir 0.5000 0.5000 0.7001

18.
A relaxed structure of NdTa2Ir2. Source: the Alexandria database, functional PBE-GGA.

## Properties
- Total DFT energy (no corrections): -9.85 eV/atom
- Symmetry: No. 139
- Total moment: 0.00 μB per atom

Unit cell a=6.1742 b=6.1742 c=6.1742 alpha=137.63 beta=137.63 gamma=61.46
Element x y z (fractional)
1 Nd 0.0000 0.0000 0.0000
2 Ta 0.2500 0.7500 0.5000
3 Ta 0.7500 0.2500 0.5000
4 Ir 0.3741 0.3741 0.0000
5 Ir 0.6259 0.6259 0.0000

19.
A relaxed structure of NdTaTiIr2. Source: the Alexandria database, functional PBE-GGA.

## Properties
- Total DFT energy (no corrections): -9.16 eV/atom
- Symmetry: No. 119
- Total moment: 0.00 μB per atom

Unit cell a=6.1609 b=6.1609 c=6.1609 alpha=138.25 beta=138.25 gamma=60.52
Element x y z (fractional)
1 Nd 0.0000 0.0000 0.0000
2 Ta 0.7500 0.2500 0.5000
3 Ti 0.2500 0.7500 0.5000
4 Ir 0.3762 0.3762 0.0000
5 Ir 0.6238 0.6238 0.0000

20.
A relaxed structure of NdZrTaIr2. Source: the Alexandria database, functional PBE-GGA.

## Properties
- Total DFT energy (no corrections): -9.25 eV/atom
- Symmetry: No. 119
- Total moment: 0.00 μB per atom

Unit cell a=6.2420 b=6.2420 c=6.2420 alpha=137.58 beta=137.58 gamma=61.55
Element x y z (fractional)
1 Nd 0.0000 0.0000 0.0000
2 Zr 0.7500 0.2500 0.5000
3 Ta 0.2500 0.7500 0.5000
4 Ir 0.3777 0.3777 0.0000
5 Ir 0.6223 0.6223 0.0000